ReHg | PBE | relaxed

Summary:
Final energy: -5.376 eV per atom
Distance to the lowest polymorph of the same formula: 606 meV per atom
Theoretical density: 14.876 g cm⁻³
Density of states at the Fermi level: 10.27 states/eV per cell

Cell: 4.041 10.814 5.928 Å, 90.00 90.00 90.00°
Space group Pmmn (No. 59, origin choice 2)
One atom of each set of equivalent atoms:
Re 0.250 0.042 0.094 (multiplicity 4)
Re 0.250 0.250 0.251 (multiplicity 2)
Hg 0.250 0.090 0.614 (multiplicity 4)
Hg 0.250 0.750 0.068 (multiplicity 2)

---

CaAc2Nd9 | PBE | relaxed

Summary:
Final energy: -4.306 eV per atom
Theoretical density: 6.680 g cm⁻³
Density of states at the Fermi level: 24.69 states/eV per cell

Cell: 6.178 6.178 11.674 Å, 90.00 90.00 90.00°
Space group P4/mmm (No. 123)
One atom of each set of equivalent atoms:
Ca 0.000 0.000 0.000 (multiplicity 1)
Ac 0.000 0.000 0.340 (multiplicity 2)
Nd 0.000 0.500 0.163 (multiplicity 4)
Nd 0.000 0.500 0.500 (multiplicity 2)
Nd 0.500 0.500 0.000 (multiplicity 1)
Nd 0.500 0.500 0.338 (multiplicity 2)

---

K3TiCo | PBE | relaxed

Summary:
Final energy: -2.273 eV per atom
Theoretical density: 1.553 g cm⁻³
Density of states at the Fermi level: 38.97 states/eV per cell

Cell: 6.211 6.211 6.211 Å, 90.00 90.00 90.00°
Space group Pm-3m (No. 221)
One atom of each set of equivalent atoms:
K 0.000 0.000 0.500 (multiplicity 3)
Ti 0.500 0.500 0.500 (multiplicity 1)
Co 0.000 0.000 0.000 (multiplicity 1)

---

ErZn2Cd9 | PBE | relaxed

Summary:
Final energy: -1.312 eV per atom
Theoretical density: 8.398 g cm⁻³
Density of states at the Fermi level: 15.95 states/eV per cell

Cell: 11.791 11.791 7.451 Å, 90.00 90.00 90.00°
Space group I4_1/amd (No. 141, origin choice 2)
One atom of each set of equivalent atoms:
Er 0.000 0.250 0.375 (multiplicity 4)
Zn 0.000 0.000 0.000 (multiplicity 8)
Cd 0.000 0.250 0.875 (multiplicity 4)
Cd 0.121 0.057 0.670 (multiplicity 32)

---

For reference, energy relative to the elements by record: 96 12 134 -3 kJ/mol of atoms.